Entry 1:
{"formula": "VAg3B", "functional": "PBE", "state": "relaxed", "energy_ev_per_cell": -14.1, "de_polymorph_mev_per_atom": 1348, "delta_e_f_ev_per_fu": 10.204, "dos_at_fermi_per_ev_fu": 5.70, "lattice_angstrom": [[-4.6970, 0.8923, 1.4947], [-0.2400, -4.5920, 1.9869], [1.7242, 1.7915, 4.3486]], "species": ["B", "Ag", "Ag", "Ag", "V"], "frac_coords": [[0.5000, 0.5000, 0.5000], [0.0000, 0.5000, 0.0000], [0.0000, 0.0000, 0.5000], [0.5000, 0.0000, 0.0000], [0.0000, 0.0000, 0.0000]]}

=====

Entry 2:
{"formula": "V3AgB", "functional": "PBE", "state": "relaxed", "energy_ev_per_cell": -36.1, "de_polymorph_mev_per_atom": 0, "delta_e_f_ev_per_fu": 0.763, "dos_at_fermi_per_ev_fu": 3.87, "lattice_angstrom": [[-1.9408, 3.4721, 0.9170], [-1.2417, 0.3292, -3.8747], [-3.3697, -2.1211, 0.8996]], "species": ["B", "Ag", "V", "V", "V"], "frac_coords": [[0.0000, 0.0000, 0.0000], [0.5000, 0.5000, 0.5000], [0.0000, 0.5000, 0.0000], [0.0000, 0.0000, 0.5000], [0.5000, 0.0000, 0.0000]]}

=====

Entry 3:
{"formula": "V3AgB", "functional": "PBE", "state": "relaxed", "energy_ev_per_cell": -24.3, "de_polymorph_mev_per_atom": 2358, "delta_e_f_ev_per_fu": 12.552, "dos_at_fermi_per_ev_fu": 9.86, "lattice_angstrom": [[-0.7329, 0.8333, 4.5548], [1.4408, -4.3415, 1.0262], [4.4005, 1.5603, 0.4226]], "species": ["B", "Ag", "V", "V", "V"], "frac_coords": [[0.5000, 0.5000, 0.5000], [0.0000, 0.0000, 0.0000], [0.0000, 0.5000, 0.0000], [0.0000, 0.0000, 0.5000], [0.5000, 0.0000, 0.0000]]}

=====

Entry 4:
{"formula": "VAg3B", "functional": "PBE", "state": "relaxed", "energy_ev_per_cell": -20.9, "de_polymorph_mev_per_atom": 0, "delta_e_f_ev_per_fu": 3.462, "dos_at_fermi_per_ev_fu": 5.45, "lattice_angstrom": [[4.3595, 0.0000, 0.0000], [0.0000, 4.3595, 0.0000], [0.0000, 0.0000, 4.3595]], "species": ["B", "Ag", "Ag", "Ag", "V"], "frac_coords": [[0.0000, 0.0000, 0.0000], [0.0000, 0.5000, 0.0000], [0.0000, 0.0000, 0.5000], [0.5000, 0.0000, 0.0000], [0.5000, 0.5000, 0.5000]]}

=====

Entry 5:
{"formula": "VAgB3", "functional": "PBE", "state": "relaxed", "energy_ev_per_cell": -25.3, "de_polymorph_mev_per_atom": 0, "delta_e_f_ev_per_fu": 6.688, "dos_at_fermi_per_ev_fu": 1.87, "lattice_angstrom": [[4.0220, 0.0000, 0.0000], [0.0000, 4.0220, 0.0000], [0.0000, 0.0000, 4.0220]], "species": ["B", "B", "B", "Ag", "V"], "frac_coords": [[0.0000, 0.5000, 0.0000], [0.0000, 0.0000, 0.5000], [0.5000, 0.0000, 0.0000], [0.5000, 0.5000, 0.5000], [0.0000, 0.0000, 0.0000]]}

=====

Entry 6:
{"formula": "VAg2BW", "functional": "PBE", "state": "relaxed", "energy_ev_per_cell": -23.0, "delta_e_f_ev_per_fu": 11.498, "dos_at_fermi_per_ev_fu": 3.93, "lattice_angstrom": [[-4.5036, 1.9480, 0.1994], [-1.1182, -2.9027, 3.1028], [1.5075, 3.1298, 3.4712]], "species": ["B", "Ag", "Ag", "W", "V"], "frac_coords": [[0.5000, 0.5000, 0.5000], [0.0000, 0.0000, 0.5000], [0.5000, 0.0000, 0.0000], [0.0000, 0.5000, 0.0000], [0.0000, 0.0000, 0.0000]]}

=====

Entry 7:
{"formula": "AgBW2", "functional": "PBE", "state": "relaxed", "energy_ev_per_cell": -139.5, "delta_e_f_ev_per_fu": 0.572, "dos_at_fermi_per_ev_fu": 1.20, "lattice_angstrom": [[7.2965, 0.0000, 0.0006], [0.0000, 3.0633, 0.0000], [-2.7489, 0.0000, 10.4626]], "species": ["B", "B", "B", "B", "Ag", "Ag", "Ag", "Ag", "W", "W", "W", "W", "W", "W", "W", "W"], "frac_coords": [[0.6766, 0.0000, 0.3438], [0.3234, 0.0000, 0.6562], [0.6766, 0.5000, 0.8438], [0.3234, 0.5000, 0.1562], [0.0081, 0.0000, 0.6350], [0.9919, 0.0000, 0.3650], [0.0081, 0.5000, 0.1350], [0.9919, 0.5000, 0.8650], [0.6739, 0.0000, 0.9884], [0.3261, 0.0000, 0.0116], [0.6739, 0.5000, 0.4884], [0.3261, 0.5000, 0.5116], [0.6340, 0.0000, 0.6926], [0.3660, 0.0000, 0.3074], [0.6340, 0.5000, 0.1926], [0.3660, 0.5000, 0.8074]]}

=====

Entry 8:
{"formula": "AgBW2", "functional": "PBE", "state": "relaxed", "energy_ev_per_cell": -68.4, "delta_e_f_ev_per_fu": 1.253, "dos_at_fermi_per_ev_fu": 0.58, "lattice_angstrom": [[-2.8611, 0.5728, 0.5270], [0.3045, -2.0893, 3.9242], [4.0987, 7.2688, 3.5519]], "species": ["B", "B", "Ag", "Ag", "W", "W", "W", "W"], "frac_coords": [[0.5000, 0.0000, 0.5000], [0.5000, 0.5000, 0.0000], [0.5000, 0.5000, 0.5000], [0.5000, 0.0000, 0.0000], [0.8886, 0.0000, 0.3245], [0.1114, 0.0000, 0.6755], [0.8886, 0.5000, 0.8245], [0.1114, 0.5000, 0.1755]]}

=====

Entry 9:
{"formula": "AgB3W", "functional": "PBE", "state": "relaxed", "energy_ev_per_cell": -29.1, "de_polymorph_mev_per_atom": 0, "delta_e_f_ev_per_fu": 6.693, "dos_at_fermi_per_ev_fu": 1.86, "lattice_angstrom": [[-2.2026, 1.4400, -3.2793], [1.9564, -2.7410, -2.5176], [-3.0000, -2.8447, 0.7659]], "species": ["B", "B", "B", "Ag", "W"], "frac_coords": [[0.0000, 0.5000, 0.0000], [0.0000, 0.0000, 0.5000], [0.5000, 0.0000, 0.0000], [0.5000, 0.5000, 0.5000], [0.0000, 0.0000, 0.0000]]}

=====

Entry 10:
{"formula": "Ag2BW", "functional": "PBE", "state": "relaxed", "energy_ev_per_cell": -42.0, "delta_e_f_ev_per_fu": 4.353, "dos_at_fermi_per_ev_fu": 2.89, "lattice_angstrom": [[-2.7907, -6.1551, 2.5948], [5.6728, -0.6991, 4.4427], [0.3035, -2.2188, 5.1614]], "species": ["B", "B", "Ag", "Ag", "Ag", "Ag", "W", "W"], "frac_coords": [[0.5000, 0.5000, 0.0000], [0.2500, 0.7500, 0.5000], [0.5398, 0.1250, 0.2500], [0.2102, 0.6250, 0.2500], [0.3750, 0.4602, 0.7500], [0.8750, 0.7898, 0.7500], [0.0000, 0.0000, 0.0000], [0.7500, 0.2500, 0.5000]]}

=====

Entry 11:
{"formula": "AgBW2", "functional": "PBE", "state": "relaxed", "energy_ev_per_cell": -59.6, "delta_e_f_ev_per_fu": 5.648, "dos_at_fermi_per_ev_fu": 2.20, "lattice_angstrom": [[4.6175, 0.0000, 0.0000], [0.0000, 4.6175, 0.0000], [2.3088, 2.3088, 6.8500]], "species": ["B", "B", "Ag", "Ag", "W", "W", "W", "W"], "frac_coords": [[0.5000, 0.5000, 0.0000], [0.2500, 0.7500, 0.5000], [0.0000, 0.0000, 0.0000], [0.7500, 0.2500, 0.5000], [0.5091, 0.1250, 0.2500], [0.2409, 0.6250, 0.2500], [0.3750, 0.4909, 0.7500], [0.8750, 0.7591, 0.7500]]}

=====

Entry 12:
{"formula": "AgBW2", "functional": "PBE", "state": "relaxed", "energy_ev_per_cell": -139.6, "delta_e_f_ev_per_fu": 0.523, "dos_at_fermi_per_ev_fu": 2.34, "lattice_angstrom": [[-6.5251, -2.1063, -1.6911], [1.1692, -2.3947, -1.5287], [0.0578, -5.5425, 8.7263]], "species": ["B", "B", "B", "B", "Ag", "Ag", "Ag", "Ag", "W", "W", "W", "W", "W", "W", "W", "W"], "frac_coords": [[0.4646, 0.0000, 0.4149], [0.5354, 0.0000, 0.5851], [0.4646, 0.5000, 0.9149], [0.5354, 0.5000, 0.0851], [0.0210, 0.0000, 0.3665], [0.9790, 0.0000, 0.6335], [0.0210, 0.5000, 0.8665], [0.9790, 0.5000, 0.1335], [0.3473, 0.0000, 0.7706], [0.6527, 0.0000, 0.2294], [0.3473, 0.5000, 0.2706], [0.6527, 0.5000, 0.7294], [0.6963, 0.0000, 0.9603], [0.3037, 0.0000, 0.0397], [0.6963, 0.5000, 0.4603], [0.3037, 0.5000, 0.5397]]}